# 1
Compound: KAl2Tc
Source: Alexandria
Functional: GGA-PBEsol
Structure: optimized geometry

Values from the calculation:
- energy of formation (meV per atom) = 117
- ΔE to the lowest computed polymorph (meV per atom) = 0

abc: 3.1631 3.1631 8.2154
angles: 90.00 90.00 90.00
Space group P4/mmm (No. 123)
Inequivalent atoms, fractional coordinates:
K (0.0000, 0.0000, 0.0000) x1
Al (0.5000, 0.5000, 0.3409) x2
Tc (0.0000, 0.0000, 0.5000) x1

***

# 2
Compound: Na2SnAsCO7
Source: Alexandria
Functional: GGA-PBEsol
Structure: optimized geometry

Values from the calculation:
- ΔE_f (raw) (meV per atom) = -1504

abc: 5.3343 7.0231 9.2739
angles: 90.00 90.78 90.00
Space group P2_1/m (No. 11)
Inequivalent atoms, fractional coordinates:
Na (0.2394, 0.0027, 0.2124) x4
Sn (0.2117, 0.2500, 0.6354) x2
As (0.2895, 0.7500, 0.5902) x2
C (0.2692, 0.2500, 0.9216) x2
O (0.0488, 0.2500, 0.8556) x2
O (0.1721, 0.5531, 0.6753) x4
O (0.1963, 0.7500, 0.4106) x2
O (0.2949, 0.2500, 0.0562) x2
O (0.3871, 0.2500, 0.4054) x2
O (0.4626, 0.2500, 0.8337) x2

***

# 3
Compound: LiZr3I
Source: Alexandria
Functional: GGA-PBEsol
Structure: optimized geometry

Values from the calculation:
- ΔE_f (raw) (meV per atom) = 897

abc: 5.2434 5.2434 5.2434
angles: 90.00 90.00 90.00
Space group Pm-3m (No. 221)
Inequivalent atoms, fractional coordinates:
Li (0.0000, 0.0000, 0.0000) x1
Zr (0.0000, 0.5000, 0.5000) x3
I (0.5000, 0.5000, 0.5000) x1

***

Here are the calculated Fermi-level density of states numbers, same order: 0.91, 0.19, 1.32 (states/eV/atom).
Here are the calculated total magnetic moment numbers, same order: 0.89, 0.00, 0.00 (μB per formula unit).